[1]
Below is a relaxed GaTe crystal, with properties calculated at the PBE level.

Unit cell a=11.3006 b=11.3006 c=4.0870 alpha=90.00 beta=90.00 gamma=90.00
Space group P4/m (No. 83)
Asymmetric unit:
Ga1 0.0323 0.3961 0.0000 x4
Ga2 0.2680 0.6131 0.5000 x4
Te1 0.0478 0.7342 0.5000 x4
Te2 0.2706 0.4144 0.0000 x4

Results
**Uncorrected formation energy**: -0.25 eV/atom
**Crystal system**: tetragonal

***

[2]
Below is a relaxed GaTe crystal, with properties calculated at the PBE level.

Unit cell a=18.6614 b=4.1453 c=11.0995 alpha=90.00 beta=108.79 gamma=90.00
Space group C2/m (No. 12)
Asymmetric unit:
Ga1 0.0624 0.0000 0.0845 x4
Ga2 0.1398 0.5000 0.4130 x4
Ga3 0.2365 0.5000 0.3060 x4
Te1 0.0449 0.0000 0.3190 x4
Te2 0.1506 0.5000 0.0593 x4
Te3 0.1664 0.5000 0.6656 x4

Results
**Uncorrected formation energy**: -0.37 eV/atom
**Crystal system**: monoclinic

***

[3]
Below is a relaxed GaTe crystal, with properties calculated at the PBE level.

Unit cell a=4.2332 b=4.2332 c=8.6111 alpha=90.00 beta=90.00 gamma=120.00
Space group P6_3mc (No. 186)
Asymmetric unit:
Ga1 0.3333 0.6667 0.0000 x2
Te1 0.3333 0.6667 0.3420 x2

Results
**Uncorrected formation energy**: -0.15 eV/atom
**Crystal system**: hexagonal

***

Which of these has the lowest uncorrected formation energy? number 2

***

Repeat the first record exactly.
Below is a relaxed GaTe crystal, with properties calculated at the PBE level.

Unit cell a=11.3006 b=11.3006 c=4.0870 alpha=90.00 beta=90.00 gamma=90.00
Space group P4/m (No. 83)
Asymmetric unit:
Ga1 0.0323 0.3961 0.0000 x4
Ga2 0.2680 0.6131 0.5000 x4
Te1 0.0478 0.7342 0.5000 x4
Te2 0.2706 0.4144 0.0000 x4

Results
**Uncorrected formation energy**: -0.25 eV/atom
**Crystal system**: tetragonal